Record 1
# TbPmSi2Pd2 | Alexandria via LeMat-Bulk | GGA-PBE | relaxed
data_TbPmSi2Pd2
_cell_length_a 4.208
_cell_length_b 4.208
_cell_length_c 8.109
_cell_angle_alpha 90.00
_cell_angle_beta 90.00
_cell_angle_gamma 120.00
_space_group_name_H-M_alt 'P 1'
_space_group_IT_number 1
_space_group_name_Hall 'P 1'
loop_
_atom_site_label
_atom_site_type_symbol
_atom_site_fract_x
_atom_site_fract_y
_atom_site_fract_z
Si1 Si 0.667 0.333 0.748
Si2 Si 0.333 0.667 0.252
Pm1 Pm 0.000 0.000 0.000
Tb1 Tb 0.000 0.000 0.500
Pd1 Pd 0.333 0.667 0.738
Pd2 Pd 0.667 0.333 0.262
# **ΔE_f (raw)**: -0.917 eV/atom
# **Calculated volume**: 20.7 Å³/atom
# **Density of states at the Fermi level**: 5.1 states/eV/cell


Record 2
# TbPmSiPd | Alexandria via LeMat-Bulk | GGA-PBE | relaxed
data_TbPmSiPd
_cell_length_a 5.061
_cell_length_b 5.061
_cell_length_c 5.061
_cell_angle_alpha 60.00
_cell_angle_beta 60.00
_cell_angle_gamma 60.00
_space_group_name_H-M_alt 'P 1'
_space_group_IT_number 1
_space_group_name_Hall 'P 1'
loop_
_atom_site_label
_atom_site_type_symbol
_atom_site_fract_x
_atom_site_fract_y
_atom_site_fract_z
Pd1 Pd 0.750 0.750 0.750
Si1 Si 0.250 0.250 0.250
Tb1 Tb 0.000 0.000 0.000
Pm1 Pm 0.500 0.500 0.500
# **ΔE_f (raw)**: -0.674 eV/atom
# **Calculated volume**: 22.9 Å³/atom
# **ΔE to the lowest computed polymorph**: 0.123 eV/atom
# **Density of states at the Fermi level**: 2.6 states/eV/cell